No. 1
Entry from the Alexandria database: a relaxed Sm2SiPt3 crystal (PBE).

Cell: 5.8188 5.8188 8.4848 Å, 107.59 107.59 96.81°
Element x y z (fractional)
Sm 0.2500 0.7500 0.5000
Sm 0.7579 0.7579 0.0000
Sm 0.7500 0.2500 0.5000
Sm 0.2421 0.2421 0.0000
Si 0.3339 0.3339 0.6678
Si 0.6661 0.6661 0.3322
Pt 0.6456 0.1779 0.8235
Pt 0.8221 0.3544 0.1765
Pt 0.3544 0.8221 0.1765
Pt 0.1779 0.6456 0.8235
Pt 0.8232 0.8232 0.6464
Pt 0.1768 0.1768 0.3536

Summary:
Space group: Fmmm
Formation energy without anion corrections in meV/atom: -1100

=====

No. 2
Entry from the Alexandria database: a relaxed Ac2Tb4Er7 crystal (PBE).

Cell: 6.1418 6.1418 13.4329 Å, 90.00 90.00 120.00°
Element x y z (fractional)
Ac 0.6667 0.3333 0.0000
Ac 0.3333 0.6667 0.0000
Tb 0.0000 0.0000 0.6041
Tb 0.0000 0.0000 0.3959
Tb 0.6667 0.3333 0.5000
Tb 0.3333 0.6667 0.5000
Er 0.0000 0.3502 0.7811
Er 0.0000 0.6498 0.2189
Er 0.0000 0.0000 0.0000
Er 0.3502 0.0000 0.7811
Er 0.6498 0.0000 0.2189
Er 0.3502 0.3502 0.2189
Er 0.6498 0.6498 0.7811

Summary:
Space group: P-31m
DFT formation energy in eV per atom: 0.2302

=====

No. 3
Entry from the Alexandria database: a relaxed Y3Si2Ni9 crystal (PBE).

Cell: 3.9120 7.6400 7.6400 Å, 73.15 75.17 75.17°
Element x y z (fractional)
Y 0.0000 0.0000 0.0000
Y 0.6891 0.3109 0.3109
Y 0.3109 0.6891 0.6891
Si 0.5000 0.2685 0.7315
Si 0.5000 0.7315 0.2685
Ni 0.0000 0.5000 0.5000
Ni 0.6782 0.9704 0.6732
Ni 0.3218 0.0296 0.3268
Ni 0.6782 0.6732 0.9704
Ni 0.3218 0.3268 0.0296
Ni 0.8880 0.8324 0.3915
Ni 0.1120 0.1676 0.6085
Ni 0.8880 0.3915 0.8324
Ni 0.1120 0.6085 0.1676

Summary:
Space group: Immm
Formation energy without anion corrections in meV/atom: -456

=====

No. 4
Entry from the Alexandria database: a relaxed Ti2TlRu2 crystal (PBE).

Cell: 3.9257 3.9257 6.7660 Å, 73.14 73.14 90.00°
Element x y z (fractional)
Ru 0.7500 0.2500 0.5000
Ru 0.2500 0.7500 0.5000
Tl 0.0000 0.0000 0.0000
Ti 0.3742 0.3742 0.2516
Ti 0.6258 0.6258 0.7484

Summary:
Space group: I4/mmm
DFT formation energy in eV per atom: 0.0779

=====

No. 5
Entry from the Alexandria database: a relaxed LiEr3Tm2Te6 crystal (PBE).

Cell: 4.2957 8.6007 9.6235 Å, 103.05 102.90 90.00°
Element x y z (fractional)
Li 0.5000 0.0000 0.0000
Er 0.5000 0.5000 0.0000
Er 0.8317 0.1703 0.6634
Er 0.1683 0.8297 0.3366
Tm 0.8310 0.6610 0.6621
Tm 0.1690 0.3390 0.3379
Te 0.3375 0.9184 0.6749
Te 0.6656 0.5824 0.3312
Te 0.6625 0.0816 0.3251
Te 0.0008 0.2421 0.0016
Te 0.9992 0.7579 0.9984
Te 0.3344 0.4176 0.6688

Summary:
Space group: C2/m
Formation energy without anion corrections in meV/atom: -1240

=====

No. 6
Entry from the Alexandria database: a relaxed NaScGe2Rh crystal (PBE).

Cell: 4.7718 4.6068 4.7718 Å, 90.00 90.00 90.00°
Element x y z (fractional)
Sc 0.5000 0.5000 0.5000
Na 0.0000 0.0000 0.0000
Ge 0.0000 0.0000 0.5000
Ge 0.5000 0.0000 0.0000
Rh 0.0000 0.5000 0.0000

Summary:
Space group: P4/mmm
DFT formation energy in eV per atom: 0.7785